(1)
Crystalline AlTlBi3 at its relaxed geometry, computed with PBE-GGA.

Output
- crystal system = cubic
- electronic total energy (eV per atom) = -2.633

Lattice parameters (Å, degrees): 5.869 5.869 5.869 90.00 90.00 90.00
Atoms (fractional coordinates):
Tl: 0.000 0.000 0.000
Bi: 0.000 0.500 0.000
Bi: 0.000 0.000 0.500
Bi: 0.500 0.000 0.000
Al: 0.500 0.500 0.500

(2)
Crystalline CrSbP2Cl at its relaxed geometry, computed with PBE-GGA.

Output
- crystal system = tetragonal
- electronic total energy (eV per atom) = -5.006

Lattice parameters (Å, degrees): 4.694 4.694 4.575 90.00 90.00 90.00
Atoms (fractional coordinates):
Sb: 0.500 0.500 0.500
Cl: 0.000 0.000 0.500
P: 0.000 0.500 0.000
P: 0.500 0.000 0.000
Cr: 0.000 0.000 0.000

(3)
Crystalline Ir2PdICl at its relaxed geometry, computed with PBE-GGA.

Output
- crystal system = tetragonal
- electronic total energy (eV per atom) = -3.892

Lattice parameters (Å, degrees): 4.564 4.710 4.564 90.00 90.00 90.00
Atoms (fractional coordinates):
I: 0.500 0.500 0.500
Ir: 0.000 0.000 0.500
Ir: 0.500 0.000 0.000
Pd: 0.000 0.500 0.000
Cl: 0.000 0.000 0.000

(4)
Crystalline TiGaMoIr at its relaxed geometry, computed with PBE-GGA.

Output
- crystal system = cubic
- electronic total energy (eV per atom) = -8.034

Lattice parameters (Å, degrees): 4.394 4.394 4.394 60.00 60.00 60.00
Atoms (fractional coordinates):
Mo: 0.000 0.000 0.000
Ir: 0.500 0.500 0.500
Ga: 0.750 0.750 0.750
Ti: 0.250 0.250 0.250

(5)
Crystalline Ag2Hg2Pd at its relaxed geometry, computed with PBE-GGA.

Output
- crystal system = tetragonal
- electronic total energy (eV per atom) = -2.155

Lattice parameters (Å, degrees): 7.331 7.331 3.791 90.00 90.00 90.00
Atoms (fractional coordinates):
Pd: 0.000 0.000 0.000
Pd: 0.500 0.500 0.000
Hg: 0.354 0.854 0.000
Hg: 0.854 0.646 0.000
Hg: 0.646 0.146 0.000
Hg: 0.146 0.354 0.000
Ag: 0.157 0.657 0.500
Ag: 0.657 0.843 0.500
Ag: 0.843 0.343 0.500
Ag: 0.343 0.157 0.500

(6)
Crystalline Pm3Pr2Sm6 at its relaxed geometry, computed with PBE-GGA.

Output
- crystal system = tetragonal
- electronic total energy (eV per atom) = -4.484

Lattice parameters (Å, degrees): 4.838 4.838 17.308 98.03 98.03 90.00
Atoms (fractional coordinates):
Pm: 0.000 0.000 0.000
Pm: 0.799 0.799 0.597
Pm: 0.201 0.201 0.403
Pr: 0.454 0.454 0.908
Pr: 0.546 0.546 0.092
Sm: 0.121 0.621 0.243
Sm: 0.621 0.121 0.243
Sm: 0.879 0.379 0.757
Sm: 0.379 0.879 0.757
Sm: 0.697 0.697 0.394
Sm: 0.303 0.303 0.606